# LiAuSe2

LiAuSe2 after structural relaxation (PBE-GGA, Alexandria).

The structure in POSCAR format:
```
LiAuSe2
1.0
3.652 0.000 0.000
0.000 3.910 0.000
0.000 0.000 10.922
Li Au Se
2 2 4
Cartesian
0.000 0.000 0.000 Li
1.826 1.955 5.461 Li
0.000 1.955 8.655 Au
1.826 0.000 3.194 Au
0.000 0.000 5.123 Se
0.000 1.955 2.000 Se
1.826 0.000 7.462 Se
1.826 1.955 10.584 Se
```

Mass density = 7.70 g/cm³
Formation energy (no corrections) = -0.260 eV/atom

# RbSrNi2C

RbSrNi2C after structural relaxation (PBE-GGA, Alexandria).

The structure in POSCAR format:
```
RbSrNi2C
1.0
4.966 0.000 0.000
0.000 4.966 0.000
0.000 0.000 8.148
Rb Sr Ni C
1 1 2 1
Cartesian
0.000 0.000 0.000 Rb
0.000 0.000 4.074 Sr
0.000 2.483 4.074 Ni
2.483 0.000 4.074 Ni
2.483 2.483 0.000 C
```

Mass density = 2.50 g/cm³
Energy of formation = 2.310 eV per atom

# Dy5Er2Tm3

Dy5Er2Tm3 after structural relaxation (PBE-GGA, Alexandria).

The structure in POSCAR format:
```
Dy5Er2Tm3
1.0
-6.327 8.386 3.097
6.327 -8.386 3.097
6.327 8.386 -3.097
Dy Er Tm
10 4 6
Cartesian
1.267 2.636 0.000 Dy
0.000 0.000 1.549 Dy
3.181 0.000 1.549 Dy
9.472 0.000 1.549 Dy
7.594 5.750 0.000 Dy
-1.267 2.636 3.097 Dy
-3.146 8.386 1.549 Dy
3.146 8.386 1.549 Dy
0.000 0.000 4.646 Dy
5.059 5.750 3.097 Dy
7.556 2.633 0.000 Er
1.229 5.753 0.000 Er
5.098 2.633 3.097 Er
-1.229 5.753 3.097 Er
4.303 -4.219 3.097 Tm
6.327 0.000 1.549 Tm
4.303 4.219 0.000 Tm
2.024 4.168 3.097 Tm
0.000 8.386 1.549 Tm
2.024 12.605 0.000 Tm
```

Mass density = 8.36 g/cm³
Energy of formation = 0.363 eV per atom

# InBiSe

InBiSe after structural relaxation (PBE-GGA, Alexandria).

The structure in POSCAR format:
```
InBiSe
1.0
3.799 0.000 0.000
1.898 3.327 0.000
0.014 0.349 7.853
In Bi Se
1 1 1
Cartesian
0.000 0.000 0.000 In
3.816 0.360 4.939 Bi
1.898 1.120 1.450 Se
```

Mass density = 6.74 g/cm³
Formation energy (no corrections) = -0.217 eV/atom

# CeVCo2H8

CeVCo2H8 after structural relaxation (PBE-GGA, Alexandria).

The structure in POSCAR format:
```
CeVCo2H8
1.0
2.217 1.280 5.384
-2.217 1.280 5.384
0.000 -2.560 5.384
Ce V Co H
1 1 2 8
Cartesian
0.000 0.000 0.000 Ce
0.000 0.000 8.076 V
0.000 0.000 3.165 Co
0.000 0.000 12.987 Co
-0.610 -1.449 7.245 H
-1.560 -0.196 8.907 H
0.000 0.000 4.862 H
-0.950 1.253 7.245 H
0.950 -1.253 8.907 H
0.000 0.000 11.291 H
1.560 0.196 7.245 H
0.610 1.449 8.907 H
```

Mass density = 5.74 g/cm³
Uncorrected energy = -0.177 hartree per atom

# InSnWC2

InSnWC2 after structural relaxation (PBE-GGA, Alexandria).

The structure in POSCAR format:
```
InSnWC2
1.0
4.151 0.000 0.000
0.000 4.151 0.000
0.000 0.000 5.578
In Sn W C
1 1 1 2
Cartesian
0.000 0.000 0.000 In
2.075 2.075 0.000 Sn
0.000 0.000 2.789 W
0.000 2.075 2.789 C
2.075 0.000 2.789 C
```

Mass density = 7.63 g/cm³
Energy of formation = 1.386 eV per atom

# HoPtRhPb

HoPtRhPb after structural relaxation (PBE-GGA, Alexandria).

The structure in POSCAR format:
```
HoPtRhPb
1.0
6.813 0.000 0.000
0.000 6.813 0.000
0.000 0.000 6.813
Ho Pt Rh Pb
4 4 4 4
Cartesian
0.000 0.000 0.000 Ho
0.000 3.406 3.406 Ho
3.406 0.000 3.406 Ho
3.406 3.406 0.000 Ho
1.703 1.703 5.110 Pt
1.703 5.110 1.703 Pt
5.110 1.703 1.703 Pt
5.110 5.110 5.110 Pt
1.703 1.703 1.703 Rh
1.703 5.110 5.110 Rh
5.110 1.703 5.110 Rh
5.110 5.110 1.703 Rh
0.000 0.000 3.406 Pb
0.000 3.406 0.000 Pb
3.406 0.000 0.000 Pb
3.406 3.406 3.406 Pb
```

Mass density = 14.08 g/cm³
Energy of formation = -0.611 eV per atom

# Ac2ErUSe6

Ac2ErUSe6 after structural relaxation (PBE-GGA, Alexandria).

The structure in POSCAR format:
```
Ac2ErUSe6
1.0
7.588 0.000 0.000
-3.773 6.585 0.000
-3.784 -2.190 6.554
Ac Er U Se
2 1 1 6
Cartesian
0.000 0.000 0.000 Ac
-3.765 2.193 3.264 Ac
0.045 4.380 0.790 Er
0.034 -0.013 4.071 U
-4.633 4.243 5.533 Se
-2.375 4.768 2.213 Se
0.905 2.098 2.209 Se
-1.550 1.945 5.507 Se
5.349 -0.308 2.220 Se
2.495 0.424 5.526 Se
```

Mass density = 6.76 g/cm³
Formation energy (no corrections) = -1.681 eV/atom

# CaLaB2

CaLaB2 after structural relaxation (PBE-GGA, Alexandria).

The structure in POSCAR format:
```
CaLaB2
1.0
6.707 0.000 0.000
0.000 6.707 0.000
0.000 0.000 6.707
Ca La B
4 4 8
Cartesian
0.000 0.000 0.000 Ca
0.000 3.354 3.354 Ca
3.354 0.000 3.354 Ca
3.354 3.354 0.000 Ca
0.000 0.000 3.354 La
0.000 3.354 0.000 La
3.354 0.000 0.000 La
3.354 3.354 3.354 La
1.677 1.677 1.677 B
1.677 1.677 5.031 B
1.677 5.031 1.677 B
1.677 5.031 5.031 B
5.031 1.677 1.677 B
5.031 1.677 5.031 B
5.031 5.031 1.677 B
5.031 5.031 5.031 B
```

Mass density = 4.42 g/cm³
Energy of formation = 0.537 eV per atom

# Na3Tm3NbO8

Na3Tm3NbO8 after structural relaxation (PBE-GGA, Alexandria).

The structure in POSCAR format:
```
Na3Tm3NbO8
1.0
3.330 1.923 5.564
-3.330 1.923 5.564
0.000 -3.845 5.564
Na Tm Nb O
3 3 1 8
Cartesian
-1.665 -0.961 5.564 Na
-1.665 0.961 11.127 Na
0.000 1.923 5.564 Na
-3.330 0.000 8.346 Tm
-1.665 0.961 2.782 Tm
1.665 0.961 2.782 Tm
0.000 0.000 8.346 Nb
0.000 0.000 3.944 O
-1.569 -0.906 9.430 O
0.000 -1.811 7.261 O
-1.569 0.906 7.261 O
1.569 -0.906 9.430 O
0.000 1.811 9.430 O
1.569 0.906 7.261 O
0.000 0.000 12.747 O
```

Mass density = 6.19 g/cm³
Formation energy (no corrections) = -2.758 eV/atom

# Be5Te

Be5Te after structural relaxation (PBE-GGA, Alexandria).

The structure in POSCAR format:
```
Be5Te
1.0
0.000 3.278 3.278
3.278 0.000 3.278
3.278 3.278 0.000
Be Te
5 1
Cartesian
0.000 0.000 0.000 Be
4.120 2.436 2.436 Be
2.436 4.120 2.436 Be
2.436 2.436 4.120 Be
4.120 4.120 4.120 Be
1.639 1.639 1.639 Te
```

Mass density = 4.07 g/cm³
Formation energy (no corrections) = 0.614 eV/atom

# CeGaCuGe2

CeGaCuGe2 after structural relaxation (PBE-GGA, Alexandria).

The structure in POSCAR format:
```
CeGaCuGe2
1.0
4.052 0.000 0.000
0.000 4.052 0.000
0.000 0.000 11.548
Ce Ga Cu Ge
2 2 2 4
Cartesian
0.000 0.000 0.000 Ce
2.026 2.026 5.774 Ce
0.000 2.026 2.887 Ga
2.026 0.000 8.661 Ga
0.000 2.026 8.661 Cu
2.026 0.000 2.887 Cu
0.000 0.000 4.468 Ge
0.000 0.000 7.080 Ge
2.026 2.026 1.306 Ge
2.026 2.026 10.242 Ge
```

Mass density = 7.33 g/cm³
Energy of formation = -0.392 eV per atom

Number 1: volume 156 Å³/cell. Number 2: volume 201 Å³/cell. Number 3: volume 657 Å³/cell. Number 4: volume 99 Å³/cell. Number 5: volume 92 Å³/cell. Number 6: volume 96 Å³/cell. Number 7: volume 316 Å³/cell. Number 8: volume 327 Å³/cell. Number 9: volume 302 Å³/cell. Number 10: volume 214 Å³/cell. Number 11: volume 70 Å³/cell. Number 12: volume 190 Å³/cell.